1.
The following is a DFT calculation (PBE) of an optimized crystal structure of HfMoP2Cl.

E_form (uncorrected), eV/atom: 0.493
Magnetization, Bohr magnetons per cell: 3.727
Energy above the lowest structure with this stoichiometry, kJ/mol of atoms: 1.8
Density of states at the Fermi level, states/eV per cell: 2.53

Cell and atoms, written as extended XYZ:
```
5
Lattice="5.028 0.000 0.000 0.000 5.028 0.000 0.000 0.000 4.791" Properties=species:S:1:pos:R:3 pbc="T T T"
P 0.000 2.514 0.000
P 2.514 0.000 0.000
Mo 2.514 2.514 2.396
Hf 0.000 0.000 0.000
Cl 0.000 0.000 2.396
```

=====

2.
The following is a DFT calculation (PBE) of an optimized crystal structure of HfMoP2Cl.

E_form (uncorrected), eV/atom: 0.474
Magnetization, Bohr magnetons per cell: 0.993
Energy above the lowest structure with this stoichiometry, kJ/mol of atoms: 0.0
Density of states at the Fermi level, states/eV per cell: 5.62

Cell and atoms, written as extended XYZ:
```
5
Lattice="-2.824 1.482 3.430 3.244 -1.159 3.172 1.853 4.290 -0.327" Properties=species:S:1:pos:R:3 pbc="T T T"
P 1.622 -0.580 1.586
P -1.412 0.741 1.715
Mo 0.000 0.000 0.000
Hf 1.136 2.306 3.138
Cl 0.926 2.145 -0.164
```

=====

- Which formula does entry 1 have?
  HfMoP2Cl

=====

What did the second record say?
The following is a DFT calculation (PBE) of an optimized crystal structure of HfMoP2Cl.

E_form (uncorrected), eV/atom: 0.474
Magnetization, Bohr magnetons per cell: 0.993
Energy above the lowest structure with this stoichiometry, kJ/mol of atoms: 0.0
Density of states at the Fermi level, states/eV per cell: 5.62

Cell and atoms, written as extended XYZ:
```
5
Lattice="-2.824 1.482 3.430 3.244 -1.159 3.172 1.853 4.290 -0.327" Properties=species:S:1:pos:R:3 pbc="T T T"
P 1.622 -0.580 1.586
P -1.412 0.741 1.715
Mo 0.000 0.000 0.000
Hf 1.136 2.306 3.138
Cl 0.926 2.145 -0.164
```